[1]
Zn2CoNi: optimized geometry, PBE-GGA.

The structure in CIF format:
```
data_Zn2CoNi
_chemical_formula_sum 'Zn2 Co1 Ni1'
_cell_length_a 2.5809
_cell_length_b 3.6554
_cell_length_c 5.2288
_cell_angle_alpha 90.00
_cell_angle_beta 90.00
_cell_angle_gamma 90.00
_space_group_name_H-M_alt 'P m m 2'
_space_group_IT_number 25
_space_group_name_Hall 'P 2 -2'
loop_
_atom_site_label
_atom_site_fract_x
_atom_site_fract_y
_atom_site_fract_z
Zn1 0.0000 0.0000 0.0000
Zn2 0.5000 0.5000 0.2810
Co1 0.0000 0.0000 0.5211
Ni1 0.5000 0.5000 0.7594
```

Computed properties:
Magnetization = 1.6 μB/f.u.
E_form = -27 meV per atom


[2]
ZnCoNi2: optimized geometry, PBE-GGA.

The structure in CIF format:
```
data_ZnCoNi2
_chemical_formula_sum 'Zn2 Co2 Ni4'
_cell_length_a 2.6607
_cell_length_b 4.1658
_cell_length_c 8.3662
_cell_angle_alpha 90.00
_cell_angle_beta 90.00
_cell_angle_gamma 90.00
_space_group_name_H-M_alt 'I m m 2'
_space_group_IT_number 44
_space_group_name_Hall 'I 2 -2'
loop_
_atom_site_label
_atom_site_fract_x
_atom_site_fract_y
_atom_site_fract_z
Zn1 0.0000 0.0000 0.0000
Co1 0.0000 0.5000 0.7567
Ni1 0.0000 0.0000 0.4989
Ni2 0.0000 0.5000 0.2479
```

Computed properties:
Magnetization = 2.3 μB/f.u.
E_form = 8 meV per atom


[3]
Zn5CoNi6: optimized geometry, PBE-GGA.

The structure in CIF format:
```
data_Zn5CoNi6
_chemical_formula_sum 'Zn10 Co2 Ni12'
_cell_length_a 3.7693
_cell_length_b 6.7525
_cell_length_c 11.2389
_cell_angle_alpha 90.00
_cell_angle_beta 90.00
_cell_angle_gamma 90.00
_space_group_name_H-M_alt 'I m m m'
_space_group_IT_number 71
_space_group_name_Hall '-I 2 2'
loop_
_atom_site_label
_atom_site_fract_x
_atom_site_fract_y
_atom_site_fract_z
Zn1 0.0000 0.0000 0.0000
Zn2 0.0000 0.0000 0.3366
Zn3 0.0000 0.5000 0.3335
Co1 0.0000 0.5000 0.0000
Ni1 0.0000 0.2461 0.5000
Ni2 0.0000 0.2520 0.1652
```

Computed properties:
Magnetization = 2.3 μB/f.u.
E_form = -165 meV per atom


[4]
ZnCoNi2: optimized geometry, PBE-GGA.

The structure in CIF format:
```
data_ZnCoNi2
_chemical_formula_sum 'Zn1 Co1 Ni2'
_cell_length_a 2.5576
_cell_length_b 2.5576
_cell_length_c 7.0406
_cell_angle_alpha 90.00
_cell_angle_beta 90.00
_cell_angle_gamma 90.00
_space_group_name_H-M_alt 'P 4 m m'
_space_group_IT_number 99
_space_group_name_Hall 'P 4 -2'
loop_
_atom_site_label
_atom_site_fract_x
_atom_site_fract_y
_atom_site_fract_z
Zn1 0.0000 0.0000 0.0000
Co1 0.5000 0.5000 0.2662
Ni1 0.0000 0.0000 0.5000
Ni2 0.5000 0.5000 0.7443
```

Computed properties:
Magnetization = 2.3 μB/f.u.
E_form = -43 meV per atom


[5]
ZnCoNi2: optimized geometry, PBE-GGA.

The structure in CIF format:
```
data_ZnCoNi2
_chemical_formula_sum 'Zn4 Co4 Ni8'
_cell_length_a 3.4688
_cell_length_b 3.4688
_cell_length_c 16.7943
_cell_angle_alpha 90.00
_cell_angle_beta 90.00
_cell_angle_gamma 90.00
_space_group_name_H-M_alt 'I -4 2 d'
_space_group_IT_number 122
_space_group_name_Hall 'I -4 2bw'
loop_
_atom_site_label
_atom_site_fract_x
_atom_site_fract_y
_atom_site_fract_z
Zn1 0.0000 0.0000 0.0000
Co1 0.0000 0.0000 0.5000
Ni1 0.2459 0.2500 0.6250
```

Computed properties:
Magnetization = 2.5 μB/f.u.
E_form = 345 meV per atom


[6]
ZnCoNi: optimized geometry, PBE-GGA.

The structure in CIF format:
```
data_ZnCoNi
_chemical_formula_sum 'Zn4 Co4 Ni4'
_cell_length_a 7.6944
_cell_length_b 3.6875
_cell_length_c 5.1013
_cell_angle_alpha 90.00
_cell_angle_beta 103.12
_cell_angle_gamma 90.00
_space_group_name_H-M_alt 'C 1 m 1'
_space_group_IT_number 8
_space_group_name_Hall 'C -2y'
loop_
_atom_site_label
_atom_site_fract_x
_atom_site_fract_y
_atom_site_fract_z
Zn1 0.0000 0.0000 0.0000
Zn2 0.1735 0.5000 0.3357
Co1 0.1682 0.5000 0.8189
Co2 0.3361 0.0000 0.6788
Ni1 0.0043 0.0000 0.5079
Ni2 0.3359 0.0000 0.1732
```

Computed properties:
ΔE to the lowest computed polymorph = 0.008 eV/atom
Magnetization = 1.7 μB/f.u.
E_form = -61 meV per atom


[7]
Zn5CoNi: optimized geometry, PBE-GGA.

The structure in CIF format:
```
data_Zn5CoNi
_chemical_formula_sum 'Zn20 Co4 Ni4'
_cell_length_a 6.9045
_cell_length_b 8.8692
_cell_length_c 6.8824
_cell_angle_alpha 90.00
_cell_angle_beta 108.93
_cell_angle_gamma 90.00
_space_group_name_H-M_alt 'C 1 2/c 1'
_space_group_IT_number 15
_space_group_name_Hall '-C 2yc'
loop_
_atom_site_label
_atom_site_fract_x
_atom_site_fract_y
_atom_site_fract_z
Zn1 0.0000 0.0291 0.2500
Zn2 0.1247 0.2784 0.1249
Zn3 0.1837 0.4896 0.8921
Co1 0.2500 0.2500 0.5000
Ni1 0.0000 0.2504 0.7500
```

Computed properties:
ΔE to the lowest computed polymorph = 0.061 eV/atom
Magnetization = 0.0 μB/f.u.
E_form = 60 meV per atom


[8]
Zn2CoNi: optimized geometry, PBE-GGA.

The structure in CIF format:
```
data_Zn2CoNi
_chemical_formula_sum 'Zn6 Co3 Ni3'
_cell_length_a 2.5907
_cell_length_b 2.5907
_cell_length_c 25.9775
_cell_angle_alpha 90.00
_cell_angle_beta 90.00
_cell_angle_gamma 120.00
_space_group_name_H-M_alt 'R 3 m'
_space_group_IT_number 160
_space_group_name_Hall 'R 3 -2"'
loop_
_atom_site_label
_atom_site_fract_x
_atom_site_fract_y
_atom_site_fract_z
Zn1 0.0000 0.0000 0.0000
Zn2 0.0000 0.0000 0.2373
Co1 0.0000 0.0000 0.4889
Ni1 0.0000 0.0000 0.7474
```

Computed properties:
Magnetization = 2.0 μB/f.u.
E_form = 2 meV per atom


[9]
ZnCoNi: optimized geometry, PBE-GGA.

The structure in CIF format:
```
data_ZnCoNi
_chemical_formula_sum 'Zn2 Co2 Ni2'
_cell_length_a 4.3136
_cell_length_b 2.5863
_cell_length_c 6.3333
_cell_angle_alpha 90.00
_cell_angle_beta 90.52
_cell_angle_gamma 90.00
_space_group_name_H-M_alt 'P 1 21/m 1'
_space_group_IT_number 11
_space_group_name_Hall '-P 2yb'
loop_
_atom_site_label
_atom_site_fract_x
_atom_site_fract_y
_atom_site_fract_z
Zn1 0.0996 0.2500 0.1743
Co1 0.2560 0.7500 0.5100
Ni1 0.4070 0.2500 0.8301
```

Computed properties:
ΔE to the lowest computed polymorph = 0.022 eV/atom
Magnetization = 1.8 μB/f.u.
E_form = -47 meV per atom


[10]
ZnCoNi: optimized geometry, PBE-GGA.

The structure in CIF format:
```
data_ZnCoNi
_chemical_formula_sum 'Zn1 Co1 Ni1'
_cell_length_a 2.5695
_cell_length_b 2.5695
_cell_length_c 6.1896
_cell_angle_alpha 90.00
_cell_angle_beta 90.00
_cell_angle_gamma 120.00
_space_group_name_H-M_alt 'P 3 m 1'
_space_group_IT_number 156
_space_group_name_Hall 'P 3 -2"'
loop_
_atom_site_label
_atom_site_fract_x
_atom_site_fract_y
_atom_site_fract_z
Zn1 0.0000 0.0000 0.0000
Co1 0.6667 0.3333 0.3451
Ni1 0.3333 0.6667 0.6601
```

Computed properties:
ΔE to the lowest computed polymorph = 0.064 eV/atom
Magnetization = 1.9 μB/f.u.
E_form = -5 meV per atom


[11]
Zn2CoNi: optimized geometry, PBE-GGA.

The structure in CIF format:
```
data_Zn2CoNi
_chemical_formula_sum 'Zn8 Co4 Ni4'
_cell_length_a 6.5736
_cell_length_b 6.5736
_cell_length_c 5.0051
_cell_angle_alpha 90.00
_cell_angle_beta 90.00
_cell_angle_gamma 90.00
_space_group_name_H-M_alt 'I -4 2 d'
_space_group_IT_number 122
_space_group_name_Hall 'I -4 2bw'
loop_
_atom_site_label
_atom_site_fract_x
_atom_site_fract_y
_atom_site_fract_z
Zn1 0.2460 0.7500 0.1250
Co1 0.0000 0.0000 0.5000
Ni1 0.0000 0.0000 0.0000
```

Computed properties:
Magnetization = 1.4 μB/f.u.
E_form = 307 meV per atom


[12]
ZnCoNi: optimized geometry, PBE-GGA.

The structure in CIF format:
```
data_ZnCoNi
_chemical_formula_sum 'Zn4 Co4 Ni4'
_cell_length_a 4.3941
_cell_length_b 7.7087
_cell_length_c 4.3722
_cell_angle_alpha 90.00
_cell_angle_beta 107.66
_cell_angle_gamma 90.00
_space_group_name_H-M_alt 'C 1 2/c 1'
_space_group_IT_number 15
_space_group_name_Hall '-C 2yc'
loop_
_atom_site_label
_atom_site_fract_x
_atom_site_fract_y
_atom_site_fract_z
Zn1 0.0000 0.0934 0.2500
Co1 0.0000 0.4276 0.2500
Ni1 0.0000 0.2480 0.7500
```

Computed properties:
ΔE to the lowest computed polymorph = 0.039 eV/atom
Magnetization = 1.8 μB/f.u.
E_form = -30 meV per atom


[13]
ZnCo3Ni: optimized geometry, PBE-GGA.

The structure in CIF format:
```
data_ZnCo3Ni
_chemical_formula_sum 'Zn1 Co3 Ni1'
_cell_length_a 4.2640
_cell_length_b 4.2640
_cell_length_c 4.2640
_cell_angle_alpha 90.00
_cell_angle_beta 90.00
_cell_angle_gamma 90.00
_space_group_name_H-M_alt 'P m -3 m'
_space_group_IT_number 221
_space_group_name_Hall '-P 4 2 3'
loop_
_atom_site_label
_atom_site_fract_x
_atom_site_fract_y
_atom_site_fract_z
Zn1 0.0000 0.0000 0.0000
Co1 0.0000 0.5000 0.5000
Ni1 0.5000 0.5000 0.5000
```

Computed properties:
ΔE to the lowest computed polymorph = 0.000 eV/atom
Magnetization = 6.1 μB/f.u.
E_form = 1039 meV per atom